Record 1
# KTlSnPt

A geometry-optimized KTlSnPt structure (PBE, OQMD).

The value obtained for the energy above the most stable polymorph in this dataset is 0.01 eV per formula unit. Its total magnetic moment is 0.001 μB/atom.

The structure belongs to space group C2/m (No. 12); the cell edges are 12.2990, 4.5494 and 8.0649 Å and the angles 90.00°, 91.22° and 90.00°. The distinct sites, in fractional coordinates, are K at (0.0499, 0.0000, 0.2563), Tl at (0.1567, 0.5000, 0.9594), Sn at (0.1623, 0.5000, 0.5622) and Pt at (0.2232, 0.0000, 0.7255).

Record 2
# AlHgSb2

A geometry-optimized AlHgSb2 structure (PBE, OQMD).

The calculated total energy comes out at -2.818 eV per atom.

The structure belongs to space group F-43m (No. 216); the cell edges are 7.3635, 7.3635 and 7.3635 Å and the angles 90.00°, 90.00° and 90.00°. The distinct sites, in fractional coordinates, are Al at (0.0000, 0.0000, 0.0000), Hg at (0.2500, 0.2500, 0.2500), Sb at (0.0000, 0.0000, 0.5000) and Sb at (0.2500, 0.2500, 0.7500).

Record 3
# AcNbB

A geometry-optimized AcNbB structure (PBE, OQMD).

The value obtained for the energy above the most stable polymorph in this dataset is 3.69 eV per formula unit. Its total magnetic moment is 0.960 μB/atom.

The structure belongs to space group F-43m (No. 216); the cell edges are 6.7444, 6.7444 and 6.7444 Å and the angles 90.00°, 90.00° and 90.00°. The distinct sites, in fractional coordinates, are Ac at (0.0000, 0.0000, 0.0000), Nb at (0.2500, 0.2500, 0.2500) and B at (0.2500, 0.2500, 0.7500).

Record 4
# ErTmPO

A geometry-optimized ErTmPO structure (PBE, OQMD).

The value obtained for the energy above the most stable polymorph in this dataset is 0.00 eV per formula unit. Its total magnetic moment is 0.004 μB/atom.

The structure belongs to space group Pmc2_1 (No. 26); the cell edges are 4.0957, 7.3975 and 5.6120 Å and the angles 90.00°, 90.00° and 90.00°. The distinct sites, in fractional coordinates, are Er at (0.0000, 0.2050, 0.0000), Tm at (0.5000, 0.3784, 0.5584), P at (0.0000, 0.1608, 0.4941) and O at (0.5000, 0.3300, 0.9464).

Record 5
# GdDyNp

A geometry-optimized GdDyNp structure (PBE, OQMD).

The value obtained for the energy above the most stable polymorph in this dataset is 0.00 eV per formula unit. Its total magnetic moment is 1.797 μB/atom. The energy relative to the elements is 1.1731 eV/atom.

The structure belongs to space group F-43m (No. 216); the cell edges are 7.4259, 7.4259 and 7.4259 Å and the angles 90.00°, 90.00° and 90.00°. The distinct sites, in fractional coordinates, are Gd at (0.0000, 0.0000, 0.0000), Dy at (0.0000, 0.0000, 0.5000) and Np at (0.2500, 0.2500, 0.7500).

Record 6
# DyHgAsO

A geometry-optimized DyHgAsO structure (PBE, OQMD).

The value obtained for the energy above the most stable polymorph in this dataset is 1.09 eV per formula unit. Its total magnetic moment is 0.001 μB/atom.

The structure belongs to space group Pmc2_1 (No. 26); the cell edges are 4.1978, 6.2660 and 6.7924 Å and the angles 90.00°, 90.00° and 90.00°. The distinct sites, in fractional coordinates, are Dy at (0.0000, 0.0293, 0.0000), Hg at (0.5000, 0.4172, 0.3992), As at (0.5000, 0.2110, 0.7406) and O at (0.0000, 0.2135, 0.2705).

Record 7
# PmAuSeO

A geometry-optimized PmAuSeO structure (PBE, OQMD).

The value obtained for the energy above the most stable polymorph in this dataset is 0.11 eV per formula unit. Its total magnetic moment is 0.000 μB/atom.

The structure belongs to space group P2_1 (No. 4); the cell edges are 5.8394, 5.8337 and 11.3499 Å and the angles 90.00°, 92.34° and 90.00°. The distinct sites, in fractional coordinates, are Pm at (0.0072, 0.0000, 0.0972), Pm at (0.4928, 0.0004, 0.9022), Au at (0.0031, 0.0240, 0.7244), Au at (0.3135, 0.2773, 0.5036), Se at (0.2967, 0.2282, 0.2913), Se at (0.3033, 0.3224, 0.7158), O at (0.2493, 0.2495, 0.0014) and O at (0.2514, 0.7494, 0.9998).

Record 8
# HoAlTc

A geometry-optimized HoAlTc structure (PBE, OQMD).

The value obtained for the energy above the most stable polymorph in this dataset is 2.25 eV per formula unit. Its total magnetic moment is 0.319 μB/atom.

The structure belongs to space group F-43m (No. 216); the cell edges are 6.5361, 6.5361 and 6.5361 Å and the angles 90.00°, 90.00° and 90.00°. The distinct sites, in fractional coordinates, are Ho at (0.0000, 0.0000, 0.0000), Al at (0.2500, 0.2500, 0.7500) and Tc at (0.2500, 0.2500, 0.2500).

| no. | V (Å³/f.u.) |
| --- | --- |
| 1 | 112.8 |
| 2 | 99.8 |
| 3 | 76.7 |
| 4 | 85.0 |
| 5 | 102.4 |
| 6 | 89.3 |
| 7 | 96.6 |
| 8 | 69.8 |